Record 1
VASP calculation (PBE) on a relaxed SrLiPb crystal.

CIF file:
```
data_SrLiPb
_chemical_formula_sum 'Sr1 Li1 Pb1'
_cell_length_a 5.0861
_cell_length_b 5.0861
_cell_length_c 5.0861
_cell_angle_alpha 60.00
_cell_angle_beta 60.00
_cell_angle_gamma 60.00
_symmetry_space_group_name_H-M 'P 1'
_symmetry_Int_Tables_number 1
loop_
_symmetry_equiv_pos_as_xyz
'x,y,z'
loop_
_atom_site_label
_atom_site_type_symbol
_atom_site_fract_x
_atom_site_fract_y
_atom_site_fract_z
Sr1 Sr 0.0000 0.0000 0.0000
Li1 Li 0.2500 0.2500 0.2500
Pb1 Pb 0.5000 0.5000 0.5000
```

* space-group type: F-43m
* ρ: 5.4 g cm⁻³
* ΔE_f: -0.252 eV/atom
* crystal system: cubic

***

Record 2
VASP calculation (PBE) on a relaxed LiMn2Cl crystal.

CIF file:
```
data_LiMn2Cl
_chemical_formula_sum 'Li1 Mn2 Cl1'
_cell_length_a 6.5676
_cell_length_b 6.5676
_cell_length_c 3.5068
_cell_angle_alpha 105.40
_cell_angle_beta 105.40
_cell_angle_gamma 134.10
_symmetry_space_group_name_H-M 'P 1'
_symmetry_Int_Tables_number 1
loop_
_symmetry_equiv_pos_as_xyz
'x,y,z'
loop_
_atom_site_label
_atom_site_type_symbol
_atom_site_fract_x
_atom_site_fract_y
_atom_site_fract_z
Li1 Li 0.0000 0.0000 0.0000
Mn1 Mn 0.0000 0.5000 0.0000
Mn2 Mn 0.5000 0.0000 0.0000
Cl1 Cl 0.5000 0.5000 0.0000
```

* space-group type: C2/m
* formation energy (no corrections): 0.161 eV per atom
* ρ: 3.2 g cm⁻³
* E above lowest polymorph: 359 meV/atom
* crystal system: monoclinic

***

Record 3
VASP calculation (PBE) on a relaxed In12Ga5Te3 crystal.

CIF file:
```
data_In12Ga5Te3
_chemical_formula_sum 'In48 Ga20 Te12'
_cell_length_a 14.8447
_cell_length_b 14.8447
_cell_length_c 14.8447
_cell_angle_alpha 109.47
_cell_angle_beta 109.47
_cell_angle_gamma 109.47
_symmetry_space_group_name_H-M 'P 1'
_symmetry_Int_Tables_number 1
loop_
_symmetry_equiv_pos_as_xyz
'x,y,z'
loop_
_atom_site_label
_atom_site_type_symbol
_atom_site_fract_x
_atom_site_fract_y
_atom_site_fract_z
In1 In 0.0299 0.2090 0.0951
In2 In 0.0299 0.3209 0.9348
In3 In 0.0652 0.5951 0.3861
In4 In 0.0652 0.9701 0.6791
In5 In 0.0951 0.0299 0.2090
In6 In 0.0951 0.5652 0.8861
In7 In 0.1139 0.7090 0.6791
In8 In 0.1139 0.9049 0.4348
In9 In 0.1791 0.2090 0.6139
In10 In 0.1791 0.4701 0.5652
In11 In 0.2090 0.0951 0.0299
In12 In 0.2090 0.6139 0.1791
In13 In 0.2910 0.3209 0.8861
In14 In 0.2910 0.4701 0.4049
In15 In 0.3209 0.8861 0.2910
In16 In 0.3209 0.9348 0.0299
In17 In 0.3861 0.0652 0.5951
In18 In 0.3861 0.8209 0.7910
In19 In 0.4049 0.2910 0.4701
In20 In 0.4049 0.6139 0.9348
In21 In 0.4348 0.1139 0.9049
In22 In 0.4348 0.8209 0.5299
In23 In 0.4701 0.4049 0.2910
In24 In 0.4701 0.5652 0.1791
In25 In 0.5299 0.4348 0.8209
In26 In 0.5299 0.5951 0.7090
In27 In 0.5652 0.1791 0.4701
In28 In 0.5652 0.8861 0.0951
In29 In 0.5951 0.3861 0.0652
In30 In 0.5951 0.7090 0.5299
In31 In 0.6139 0.1791 0.2090
In32 In 0.6139 0.9348 0.4049
In33 In 0.6791 0.0652 0.9701
In34 In 0.6791 0.1139 0.7090
In35 In 0.7090 0.5299 0.5951
In36 In 0.7090 0.6791 0.1139
In37 In 0.7910 0.3861 0.8209
In38 In 0.7910 0.9049 0.9701
In39 In 0.8209 0.5299 0.4348
In40 In 0.8209 0.7910 0.3861
In41 In 0.8861 0.0951 0.5652
In42 In 0.8861 0.2910 0.3209
In43 In 0.9049 0.4348 0.1139
In44 In 0.9049 0.9701 0.7910
In45 In 0.9348 0.0299 0.3209
In46 In 0.9348 0.4049 0.6139
In47 In 0.9701 0.6791 0.0652
In48 In 0.9701 0.7910 0.9049
Ga1 Ga 0.0000 0.0000 0.0000
Ga2 Ga 0.0000 0.0000 0.5000
Ga3 Ga 0.0000 0.5000 0.0000
Ga4 Ga 0.0000 0.5000 0.5000
Ga5 Ga 0.1250 0.7500 0.8750
Ga6 Ga 0.1250 0.8750 0.2500
Ga7 Ga 0.2500 0.1250 0.8750
Ga8 Ga 0.2500 0.6250 0.3750
Ga9 Ga 0.3750 0.2500 0.6250
Ga10 Ga 0.3750 0.6250 0.7500
Ga11 Ga 0.5000 0.0000 0.0000
Ga12 Ga 0.5000 0.0000 0.5000
Ga13 Ga 0.5000 0.5000 0.0000
Ga14 Ga 0.5000 0.5000 0.5000
Ga15 Ga 0.6250 0.3750 0.2500
Ga16 Ga 0.6250 0.7500 0.3750
Ga17 Ga 0.7500 0.3750 0.6250
Ga18 Ga 0.7500 0.8750 0.1250
Ga19 Ga 0.8750 0.1250 0.7500
Ga20 Ga 0.8750 0.2500 0.1250
Te1 Te 0.1250 0.2500 0.3750
Te2 Te 0.1250 0.3750 0.7500
Te3 Te 0.2500 0.3750 0.1250
Te4 Te 0.2500 0.8750 0.6250
Te5 Te 0.3750 0.1250 0.2500
Te6 Te 0.3750 0.7500 0.1250
Te7 Te 0.6250 0.2500 0.8750
Te8 Te 0.6250 0.8750 0.7500
Te9 Te 0.7500 0.1250 0.3750
Te10 Te 0.7500 0.6250 0.8750
Te11 Te 0.8750 0.6250 0.2500
Te12 Te 0.8750 0.7500 0.6250
```

* space-group type: Ia-3d
* formation energy (no corrections): 0.102 eV per atom
* ρ: 5.6 g cm⁻³
* crystal system: cubic

***

Record 4
VASP calculation (PBE) on a relaxed KVHRu2 crystal.

CIF file:
```
data_KVHRu2
_chemical_formula_sum 'K1 V1 H1 Ru2'
_cell_length_a 4.4953
_cell_length_b 4.4953
_cell_length_c 3.4520
_cell_angle_alpha 90.00
_cell_angle_beta 90.00
_cell_angle_gamma 90.00
_symmetry_space_group_name_H-M 'P 1'
_symmetry_Int_Tables_number 1
loop_
_symmetry_equiv_pos_as_xyz
'x,y,z'
loop_
_atom_site_label
_atom_site_type_symbol
_atom_site_fract_x
_atom_site_fract_y
_atom_site_fract_z
K1 K 0.0000 0.0000 0.0000
V1 V 0.5000 0.5000 0.0000
H1 H 0.5000 0.5000 0.5000
Ru1 Ru 0.0000 0.5000 0.5000
Ru2 Ru 0.5000 0.0000 0.5000
```

* final energy: -0.195 Ha/atom
* space-group type: P4/mmm
* ρ: 7.0 g cm⁻³
* crystal system: tetragonal

***

Record 5
VASP calculation (PBE) on a relaxed KMg3S crystal.

CIF file:
```
data_KMg3S
_chemical_formula_sum 'K1 Mg3 S1'
_cell_length_a 5.2799
_cell_length_b 5.2799
_cell_length_c 5.2799
_cell_angle_alpha 90.00
_cell_angle_beta 90.00
_cell_angle_gamma 90.00
_symmetry_space_group_name_H-M 'P 1'
_symmetry_Int_Tables_number 1
loop_
_symmetry_equiv_pos_as_xyz
'x,y,z'
loop_
_atom_site_label
_atom_site_type_symbol
_atom_site_fract_x
_atom_site_fract_y
_atom_site_fract_z
K1 K 0.0000 0.0000 0.0000
Mg1 Mg 0.0000 0.5000 0.5000
Mg2 Mg 0.5000 0.0000 0.5000
Mg3 Mg 0.5000 0.5000 0.0000
S1 S 0.5000 0.5000 0.5000
```

* space-group type: Pm-3m
* formation energy (no corrections): 0.003 eV per atom
* ρ: 1.6 g cm⁻³
* E above lowest polymorph: 0 meV/atom
* crystal system: cubic

***

Record 6
VASP calculation (PBE) on a relaxed K2YN crystal.

CIF file:
```
data_K2YN
_chemical_formula_sum 'K4 Y2 N2'
_cell_length_a 8.9778
_cell_length_b 8.9778
_cell_length_c 8.9778
_cell_angle_alpha 93.45
_cell_angle_beta 93.45
_cell_angle_gamma 151.59
_symmetry_space_group_name_H-M 'P 1'
_symmetry_Int_Tables_number 1
loop_
_symmetry_equiv_pos_as_xyz
'x,y,z'
loop_
_atom_site_label
_atom_site_type_symbol
_atom_site_fract_x
_atom_site_fract_y
_atom_site_fract_z
K1 K 0.3750 0.2054 0.3304
K2 K 0.7946 0.1250 0.1696
K3 K 0.8750 0.0446 0.6696
K4 K 0.9554 0.6250 0.8304
Y1 Y 0.2500 0.7500 0.5000
Y2 Y 0.5000 0.5000 0.0000
N1 N 0.0000 0.0000 0.0000
N2 N 0.7500 0.2500 0.5000
```

* space-group type: I-42d
* formation energy (no corrections): 0.077 eV per atom
* ρ: 1.8 g cm⁻³
* crystal system: tetragonal

***

Record 7
VASP calculation (PBE) on a relaxed YPdS2I crystal.

CIF file:
```
data_YPdS2I
_chemical_formula_sum 'Y1 Pd1 S2 I1'
_cell_length_a 5.1257
_cell_length_b 5.1257
_cell_length_c 5.7088
_cell_angle_alpha 90.00
_cell_angle_beta 90.00
_cell_angle_gamma 90.00
_symmetry_space_group_name_H-M 'P 1'
_symmetry_Int_Tables_number 1
loop_
_symmetry_equiv_pos_as_xyz
'x,y,z'
loop_
_atom_site_label
_atom_site_type_symbol
_atom_site_fract_x
_atom_site_fract_y
_atom_site_fract_z
Y1 Y 0.0000 0.0000 0.0000
Pd1 Pd 0.5000 0.5000 0.0000
S1 S 0.0000 0.5000 0.5000
S2 S 0.5000 0.0000 0.5000
I1 I 0.0000 0.0000 0.5000
```

* space-group type: P4/mmm
* formation energy (no corrections): 0.754 eV per atom
* ρ: 4.3 g cm⁻³
* crystal system: tetragonal

***

Record 8
VASP calculation (PBE) on a relaxed Pm2Sm5Sb5 crystal.

CIF file:
```
data_Pm2Sm5Sb5
_chemical_formula_sum 'Pm2 Sm5 Sb5'
_cell_length_a 7.5518
_cell_length_b 7.5518
_cell_length_c 12.9455
_cell_angle_alpha 106.91
_cell_angle_beta 106.91
_cell_angle_gamma 34.02
_symmetry_space_group_name_H-M 'P 1'
_symmetry_Int_Tables_number 1
loop_
_symmetry_equiv_pos_as_xyz
'x,y,z'
loop_
_atom_site_label
_atom_site_type_symbol
_atom_site_fract_x
_atom_site_fract_y
_atom_site_fract_z
Pm1 Pm 0.0385 0.0385 0.2824
Pm2 Pm 0.9615 0.9615 0.7176
Sm1 Sm 0.2728 0.2728 0.1539
Sm2 Sm 0.3413 0.3413 0.4590
Sm3 Sm 0.5000 0.5000 0.0000
Sm4 Sm 0.6587 0.6587 0.5410
Sm5 Sm 0.7272 0.7272 0.8461
Sb1 Sb 0.0000 0.0000 0.5000
Sb2 Sb 0.1215 0.1215 0.9333
Sb3 Sb 0.3042 0.3042 0.7025
Sb4 Sb 0.6958 0.6958 0.2975
Sb5 Sb 0.8785 0.8785 0.0667
```

* space-group type: C2/m
* formation energy (no corrections): -0.898 eV per atom
* ρ: 7.0 g cm⁻³
* crystal system: monoclinic

***

Record 9
VASP calculation (PBE) on a relaxed Ti2ZnCuSi crystal.

CIF file:
```
data_Ti2ZnCuSi
_chemical_formula_sum 'Ti2 Zn1 Cu1 Si1'
_cell_length_a 4.6572
_cell_length_b 4.6572
_cell_length_c 4.2692
_cell_angle_alpha 90.00
_cell_angle_beta 90.00
_cell_angle_gamma 90.00
_symmetry_space_group_name_H-M 'P 1'
_symmetry_Int_Tables_number 1
loop_
_symmetry_equiv_pos_as_xyz
'x,y,z'
loop_
_atom_site_label
_atom_site_type_symbol
_atom_site_fract_x
_atom_site_fract_y
_atom_site_fract_z
Ti1 Ti 0.0000 0.5000 0.0000
Ti2 Ti 0.5000 0.0000 0.0000
Zn1 Zn 0.0000 0.0000 0.5000
Cu1 Cu 0.5000 0.5000 0.5000
Si1 Si 0.5000 0.5000 0.0000
```

* space-group type: P4/mmm
* formation energy (no corrections): 0.334 eV per atom
* ρ: 4.5 g cm⁻³
* crystal system: tetragonal

***

Record 10
VASP calculation (PBE) on a relaxed AlCuNi crystal.

CIF file:
```
data_AlCuNi
_chemical_formula_sum 'Al1 Cu1 Ni1'
_cell_length_a 4.7042
_cell_length_b 4.7042
_cell_length_c 4.7042
_cell_angle_alpha 143.61
_cell_angle_beta 143.61
_cell_angle_gamma 52.41
_symmetry_space_group_name_H-M 'P 1'
_symmetry_Int_Tables_number 1
loop_
_symmetry_equiv_pos_as_xyz
'x,y,z'
loop_
_atom_site_label
_atom_site_type_symbol
_atom_site_fract_x
_atom_site_fract_y
_atom_site_fract_z
Al1 Al 0.0000 0.0000 0.0000
Cu1 Cu 0.3275 0.3275 0.0000
Ni1 Ni 0.6553 0.6553 0.0000
```

* space-group type: I4mm
* ρ: 6.8 g cm⁻³
* ΔE_f: -0.345 eV/atom
* E above lowest polymorph: 57 meV/atom
* crystal system: tetragonal

***

Record 11
VASP calculation (PBE) on a relaxed Dy2HoS3 crystal.

CIF file:
```
data_Dy2HoS3
_chemical_formula_sum 'Dy2 Ho1 S3'
_cell_length_a 6.7440
_cell_length_b 6.7440
_cell_length_c 6.7440
_cell_angle_alpha 146.31
_cell_angle_beta 131.84
_cell_angle_gamma 60.06
_symmetry_space_group_name_H-M 'P 1'
_symmetry_Int_Tables_number 1
loop_
_symmetry_equiv_pos_as_xyz
'x,y,z'
loop_
_atom_site_label
_atom_site_type_symbol
_atom_site_fract_x
_atom_site_fract_y
_atom_site_fract_z
Dy1 Dy 0.1674 0.1674 0.0000
Dy2 Dy 0.8326 0.8326 0.0000
Ho1 Ho 0.5000 0.5000 0.0000
S1 S 0.0000 0.5000 0.5000
S2 S 0.3345 0.8345 0.5000
S3 S 0.6655 0.1655 0.5000
```

* space-group type: Immm
* formation energy (no corrections): -1.986 eV per atom
* ρ: 7.8 g cm⁻³
* crystal system: orthorhombic

***

Record 12
VASP calculation (PBE) on a relaxed Ta4Nb5Tc crystal.

CIF file:
```
data_Ta4Nb5Tc
_chemical_formula_sum 'Ta4 Nb5 Tc1'
_cell_length_a 3.2709
_cell_length_b 3.2709
_cell_length_c 16.6385
_cell_angle_alpha 90.00
_cell_angle_beta 90.00
_cell_angle_gamma 90.00
_symmetry_space_group_name_H-M 'P 1'
_symmetry_Int_Tables_number 1
loop_
_symmetry_equiv_pos_as_xyz
'x,y,z'
loop_
_atom_site_label
_atom_site_type_symbol
_atom_site_fract_x
_atom_site_fract_y
_atom_site_fract_z
Ta1 Ta 0.0000 0.0000 0.1014
Ta2 Ta 0.0000 0.0000 0.3030
Ta3 Ta 0.0000 0.0000 0.6970
Ta4 Ta 0.0000 0.0000 0.8986
Nb1 Nb 0.5000 0.5000 0.0000
Nb2 Nb 0.5000 0.5000 0.2032
Nb3 Nb 0.5000 0.5000 0.4059
Nb4 Nb 0.5000 0.5000 0.5941
Nb5 Nb 0.5000 0.5000 0.7968
Tc1 Tc 0.0000 0.0000 0.5000
```

* space-group type: P4/mmm
* ρ: 12.0 g cm⁻³
* ΔE_f: -0.092 eV/atom
* crystal system: tetragonal

***

no.,N(E_F) (states/eV per atom)
1,1.36
2,0.79
3,0.42
4,1.23
5,0.99
6,0.34
7,0.82
8,0.78
9,0.67
10,0.57
11,0.38
12,1.04